Here is a relaxed Mg3H3Ir crystal from Alexandria via LeMat-Bulk. Energies are from PBE-GGA.

a = 4.809 Å, b = 4.841 Å, c = 4.849 Å
α = 111.31°, β = 110.93°, γ = 106.00°
Fractional positions:
1 Mg 0.000 0.000 0.000
2 Mg 0.249 0.661 0.574
3 Mg 0.573 0.572 0.145
4 H 0.310 0.101 0.572
5 H 0.655 0.063 0.242
6 H 0.985 0.393 0.901
7 Ir 0.642 0.347 0.572

## Properties
symmetry = P1 (1)
N(E_F) = 0.031 states/eV/atom
energy above the most stable polymorph in this dataset = 0.0503 eV per atom

***

Here is a relaxed ReHIr2W crystal from Alexandria via LeMat-Bulk. Energies are from PBE-GGA.

a = 3.906 Å, b = 3.906 Å, c = 4.055 Å
α = 90.00°, β = 90.00°, γ = 90.00°
Fractional positions:
1 Re 0.000 0.000 0.000
2 H 0.000 0.000 0.500
3 Ir 0.000 0.500 0.500
4 Ir 0.500 0.000 0.500
5 W 0.500 0.500 0.000

## Properties
symmetry = P4/mmm (123)
N(E_F) = 0.284 states/eV/atom
energy above the most stable polymorph in this dataset = 0.0000 eV per atom